VASP calculation (GGA-PBE) on a geometry-optimized LaDy2Ga structure.

Calculated values
distance to the lowest polymorph of the same formula = 5.5 kJ/mol of atoms

Lattice parameters (Å, degrees): 4.8208 4.8208 4.7471 90.00 90.00 90.00
Atoms (fractional coordinates):
La 0.0000 0.0000 0.0000
Dy 0.0000 0.5000 0.5000
Dy 0.5000 0.0000 0.5000
Ga 0.5000 0.5000 0.0000

VASP calculation (GGA-PBE) on a geometry-optimized LaDy2Ga4 structure.

Lattice parameters (Å, degrees): 9.6744 9.6744 9.6744 154.99 153.81 36.53
Atoms (fractional coordinates):
La 0.0000 0.0000 0.0000
Dy 0.1848 0.6848 0.5000
Dy 0.8152 0.3152 0.5000
Ga 0.3511 0.8511 0.5000
Ga 0.4313 0.4313 0.0000
Ga 0.5687 0.5687 0.0000
Ga 0.6489 0.1489 0.5000

VASP calculation (GGA-PBE) on a geometry-optimized LaDyGa4 structure.

Calculated values
distance to the lowest polymorph of the same formula = 0.0 kJ/mol of atoms

Lattice parameters (Å, degrees): 8.0280 8.0280 8.0280 149.16 149.16 44.17
Atoms (fractional coordinates):
La 0.0000 0.0000 0.0000
Dy 0.7500 0.2500 0.5000
Ga 0.1684 0.6684 0.5000
Ga 0.3316 0.8316 0.5000
Ga 0.4151 0.4151 0.0000
Ga 0.5849 0.5849 0.0000

Number 1: spin magnetization 0.0 Bohr magnetons per cell, energy of formation from the pure elements -0.223 eV per atom. Number 2: spin magnetization 0.0 Bohr magnetons per cell, energy of formation from the pure elements -0.658 eV per atom. Number 3: spin magnetization 0.0 Bohr magnetons per cell, energy of formation from the pure elements -0.657 eV per atom.